1.
A geometry-optimized Tb6NdCo2 structure, computed with PBE.

Geometry as POSCAR:
```
Tb6NdCo2
1.0
-5.1350 5.4740 4.1457
-2.7233 -8.1219 0.3721
7.6802 0.4952 3.7801
Tb Nd Co
12 2 4
Cartesian
1.0615 -6.0973 4.2512 Tb
-1.8508 -1.8302 5.5774 Tb
-1.8435 0.3640 2.8695 Tb
4.8556 -1.4418 3.5943 Tb
-0.8648 -3.1335 2.6377 Tb
-5.0337 -0.7109 4.7035 Tb
3.0587 2.9281 7.0366 Tb
0.6867 0.9808 5.6602 Tb
-1.2396 3.9446 4.0466 Tb
1.6654 -2.5167 5.4284 Tb
1.6727 -0.3225 2.7205 Tb
-3.2368 -5.0808 1.2613 Tb
0.0000 0.0000 0.0000 Nd
2.4785 -3.8134 2.0761 Nd
3.2043 0.0125 5.5810 Co
0.9812 2.3012 3.0555 Co
1.5640 3.6680 4.8703 Co
-3.3824 -2.1652 2.7169 Co
```

Calculated values
E_form (eV/atom): -0.04
Total magnetization (μB per formula unit): 0.0
Fermi-level density of states (states/eV per atom): 1.137

=====

2.
A geometry-optimized Sm2GaPd4 structure, computed with PBE.

Geometry as POSCAR:
```
Sm2GaPd4
1.0
4.6657 0.0000 0.0000
0.0000 4.6657 0.0000
-2.3328 -2.3328 7.3356
Ga Pd Sm
1 4 2
Cartesian
0.0000 0.0000 0.0000 Ga
2.3328 0.0000 0.0000 Pd
0.0000 2.3328 0.0000 Pd
0.0000 0.0000 2.4567 Pd
2.3328 2.3328 4.8789 Pd
0.0000 0.0000 5.2578 Sm
2.3328 2.3328 2.0778 Sm
```

Calculated values
E_form (eV/atom): -0.44
Total magnetization (μB per formula unit): 0.0
Fermi-level density of states (states/eV per atom): 0.529

=====

3.
A geometry-optimized Zr3GaMo structure, computed with PBE.

Geometry as POSCAR:
```
Zr3GaMo
1.0
-4.9842 0.5495 0.3572
-0.6527 -3.9170 -3.0826
-0.0587 -3.1027 3.9549
Ga Zr Mo
1 3 1
Cartesian
-2.8478 -3.2351 0.6148 Ga
-2.4921 0.2748 0.1786 Zr
-0.0293 -1.5513 1.9775 Zr
-0.3264 -1.9585 -1.5413 Zr
0.0000 0.0000 0.0000 Mo
```

Calculated values
E_form (eV/atom): 0.69
Total magnetization (μB per formula unit): 0.0
Fermi-level density of states (states/eV per atom): 1.741
Excess energy over the best structure of this formula in the dataset (eV/atom): 0.0000

=====

4.
A geometry-optimized Cs4LiPa3Te8 structure, computed with PBE.

Geometry as POSCAR:
```
Cs4LiPa3Te8
1.0
-3.0682 0.7055 -8.5567
-6.7987 -7.6427 1.8076
-0.4542 7.1731 5.6118
Cs Te Li Pa
4 8 1 3
Cartesian
-1.5341 0.3528 -4.2783 Cs
-1.7612 3.9393 -1.4724 Cs
-0.2271 3.5865 2.8059 Cs
0.0000 0.0000 0.0000 Cs
-5.6019 -1.7677 1.8629 Te
-2.9854 -1.8752 -1.5495 Te
-7.1699 -1.4683 -2.4077 Te
-4.4964 -1.5277 -5.7633 Te
-7.3356 2.1112 0.4123 Te
-5.8247 1.7637 4.6261 Te
-4.7191 2.0036 -3.0002 Te
-3.1511 1.7043 1.2705 Te
-3.3993 -3.8213 0.9038 Li
-5.1605 0.1180 -0.5686 Pa
-4.9334 -3.4686 -3.3745 Pa
-3.6264 -0.2348 3.7097 Pa
```

Calculated values
ΔE_f (raw) (eV per atom): -0.966
Total magnetization (μB per formula unit): 4.0
Fermi-level density of states (states/eV per atom): 1.181

=====

Please write out number 4 again, unchanged.
A geometry-optimized Cs4LiPa3Te8 structure, computed with PBE.

Geometry as POSCAR:
```
Cs4LiPa3Te8
1.0
-3.0682 0.7055 -8.5567
-6.7987 -7.6427 1.8076
-0.4542 7.1731 5.6118
Cs Te Li Pa
4 8 1 3
Cartesian
-1.5341 0.3528 -4.2783 Cs
-1.7612 3.9393 -1.4724 Cs
-0.2271 3.5865 2.8059 Cs
0.0000 0.0000 0.0000 Cs
-5.6019 -1.7677 1.8629 Te
-2.9854 -1.8752 -1.5495 Te
-7.1699 -1.4683 -2.4077 Te
-4.4964 -1.5277 -5.7633 Te
-7.3356 2.1112 0.4123 Te
-5.8247 1.7637 4.6261 Te
-4.7191 2.0036 -3.0002 Te
-3.1511 1.7043 1.2705 Te
-3.3993 -3.8213 0.9038 Li
-5.1605 0.1180 -0.5686 Pa
-4.9334 -3.4686 -3.3745 Pa
-3.6264 -0.2348 3.7097 Pa
```

Calculated values
ΔE_f (raw) (eV per atom): -0.966
Total magnetization (μB per formula unit): 4.0
Fermi-level density of states (states/eV per atom): 1.181

=====

Number 2 is which compound? Sm2GaPd4

=====

Copy entry 1 word for word.
A geometry-optimized Tb6NdCo2 structure, computed with PBE.

Geometry as POSCAR:
```
Tb6NdCo2
1.0
-5.1350 5.4740 4.1457
-2.7233 -8.1219 0.3721
7.6802 0.4952 3.7801
Tb Nd Co
12 2 4
Cartesian
1.0615 -6.0973 4.2512 Tb
-1.8508 -1.8302 5.5774 Tb
-1.8435 0.3640 2.8695 Tb
4.8556 -1.4418 3.5943 Tb
-0.8648 -3.1335 2.6377 Tb
-5.0337 -0.7109 4.7035 Tb
3.0587 2.9281 7.0366 Tb
0.6867 0.9808 5.6602 Tb
-1.2396 3.9446 4.0466 Tb
1.6654 -2.5167 5.4284 Tb
1.6727 -0.3225 2.7205 Tb
-3.2368 -5.0808 1.2613 Tb
0.0000 0.0000 0.0000 Nd
2.4785 -3.8134 2.0761 Nd
3.2043 0.0125 5.5810 Co
0.9812 2.3012 3.0555 Co
1.5640 3.6680 4.8703 Co
-3.3824 -2.1652 2.7169 Co
```

Calculated values
E_form (eV/atom): -0.04
Total magnetization (μB per formula unit): 0.0
Fermi-level density of states (states/eV per atom): 1.137